1.
This record from the Alexandria database describes an optimized crystal structure of K4RbHg. The functional is GGA-PBE.

Cell lengths 7.833, 9.446, 11.938 Å; angles 113.31, 108.37, 90.00 degrees
Atoms (fractional coordinates):
K (0.165, 0.662, 0.323)
K (0.390, 0.129, 0.781)
K (0.000, 0.222, 0.000)
K (0.610, 0.348, 0.219)
K (0.835, 0.338, 0.677)
K (0.610, 0.871, 0.219)
K (0.000, 0.778, 0.000)
K (0.390, 0.652, 0.781)
Rb (0.797, 0.796, 0.592)
Rb (0.203, 0.204, 0.408)
Hg (0.309, 0.502, 0.004)
Hg (0.691, 0.498, 0.996)

Output
Its space group is C2/m. The calculation puts the energy above the lowest structure with this stoichiometry at 0.000 eV/f.u. As for the energy relative to the elements: -0.078 eV per atom.

---

2.
This record from the Alexandria database describes an optimized crystal structure of EuHfRu2. The functional is GGA-PBE.

Cell lengths 3.293, 3.293, 6.982 Å; angles 90.00, 90.00, 90.00 degrees
Site moments in Bohr magnetons follow the coordinates.
Atoms (fractional coordinates):
Eu (0.500, 0.500, 0.500)  -6.68
Ru (0.000, 0.000, 0.783)  0.24
Ru (0.000, 0.000, 0.217)  0.24
Hf (0.500, 0.500, 0.000)  -0.05

Output
Its space group is P4/mmm. As for the energy relative to the elements: -0.255 eV per atom.

---

3.
This record from the Alexandria database describes an optimized crystal structure of Pr3SmTl. The functional is GGA-PBE.

Cell lengths 6.389, 6.389, 6.389 Å; angles 109.94, 109.94, 109.94 degrees
Site moments in Bohr magnetons follow the coordinates.
Atoms (fractional coordinates):
Pr (0.725, 0.225, 0.225)  0.19
Pr (0.225, 0.725, 0.225)  0.19
Pr (0.225, 0.225, 0.725)  0.19
Sm (0.725, 0.725, 0.725)  0.16
Tl (0.225, 0.225, 0.225)  -0.01

Output
Its space group is R-3m. The calculation puts the energy above the lowest structure with this stoichiometry at 1.858 eV/f.u. As for the energy relative to the elements: 0.324 eV per atom.

---

4.
This record from the Alexandria database describes an optimized crystal structure of TcPRuO2. The functional is GGA-PBE.

Cell lengths 3.721, 3.721, 5.327 Å; angles 90.00, 90.00, 90.00 degrees
Site moments in Bohr magnetons follow the coordinates.
Atoms (fractional coordinates):
Ru (0.000, 0.000, 0.000)  0.20
Tc (0.500, 0.500, 0.500)  3.03
O (0.000, 0.500, 0.000)  0.08
O (0.500, 0.000, 0.000)  0.08
P (0.000, 0.000, 0.500)  -0.01

Output
Its space group is P4/mmm. For the uncorrected formation energy, the calculation gives 0.05 eV/atom. The calculation puts the energy above the lowest structure with this stoichiometry at 1.326 eV/f.u.

---

5.
This record from the Alexandria database describes an optimized crystal structure of Na2DySbO4. The functional is GGA-PBE.

Cell lengths 3.437, 5.981, 5.945 Å; angles 109.34, 90.00, 90.00 degrees
Atoms (fractional coordinates):
Na (0.500, 0.000, 0.500)
Na (0.000, 0.500, 0.500)
Dy (0.500, 0.500, 0.000)
Sb (0.000, 0.000, 0.000)
O (0.500, 0.249, 0.221)
O (0.500, 0.751, 0.779)
O (0.000, 0.267, 0.788)
O (0.000, 0.733, 0.212)

Output
Its space group is P2/m. For the uncorrected formation energy, the calculation gives -2.04 eV/atom.

---

6.
This record from the Alexandria database describes an optimized crystal structure of La2SnTeO. The functional is GGA-PBE.

Cell lengths 4.792, 5.967, 4.792 Å; angles 90.00, 90.00, 90.00 degrees
Atoms (fractional coordinates):
Te (0.000, 0.500, 0.000)
Sn (0.500, 0.500, 0.500)
O (0.000, 0.000, 0.000)
La (0.000, 0.000, 0.500)
La (0.500, 0.000, 0.000)

Output
Its space group is P4/mmm. For the uncorrected formation energy, the calculation gives -1.26 eV/atom.

---

7.
This record from the Alexandria database describes an optimized crystal structure of U3PbSe6. The functional is GGA-PBE.

Cell lengths 4.165, 11.752, 12.167 Å; angles 108.06, 90.00, 90.00 degrees
Site moments in Bohr magnetons follow the coordinates.
Atoms (fractional coordinates):
U (0.750, 0.447, 0.835)  2.56
U (0.250, 0.553, 0.165)  2.56
U (0.750, 0.677, 0.491)  2.56
U (0.250, 0.323, 0.509)  2.56
U (0.750, 0.153, 0.085)  -2.43
U (0.250, 0.847, 0.915)  -2.43
Pb (0.750, 0.033, 0.682)  0.01
Pb (0.250, 0.967, 0.318)  0.01
Se (0.750, 0.492, 0.617)  -0.07
Se (0.250, 0.508, 0.383)  -0.07
Se (0.750, 0.912, 0.085)  0.06
Se (0.250, 0.088, 0.915)  0.06
Se (0.750, 0.387, 0.050)  -0.04
Se (0.250, 0.613, 0.950)  -0.04
Se (0.750, 0.718, 0.266)  -0.06
Se (0.250, 0.282, 0.734)  -0.06
Se (0.750, 0.133, 0.474)  -0.04
Se (0.250, 0.867, 0.526)  -0.04
Se (0.750, 0.796, 0.748)  0.03
Se (0.250, 0.204, 0.252)  0.03

Output
Its space group is P2_1/m. For the uncorrected formation energy, the calculation gives -0.98 eV/atom.

---

8.
This record from the Alexandria database describes an optimized crystal structure of BaVN4. The functional is GGA-PBE.

Cell lengths 5.137, 6.291, 8.518 Å; angles 102.05, 96.03, 122.15 degrees
Atoms (fractional coordinates):
Ba (0.364, 0.114, 0.728)
Ba (0.636, 0.886, 0.272)
V (0.255, 0.505, 0.510)
V (0.745, 0.495, 0.490)
N (0.128, 0.806, 0.994)
N (0.866, 0.688, 0.994)
N (0.079, 0.630, 0.392)
N (0.921, 0.370, 0.608)
N (0.687, 0.739, 0.608)
N (0.134, 0.312, 0.006)
N (0.313, 0.261, 0.392)
N (0.872, 0.194, 0.006)

Output
Its space group is C2/c. For the uncorrected formation energy, the calculation gives -0.56 eV/atom.

---

9.
This record from the Alexandria database describes an optimized crystal structure of AlNiPt3. The functional is GGA-PBE.

Cell lengths 6.029, 6.883, 7.259 Å; angles 90.00, 90.00, 90.00 degrees
Site moments in Bohr magnetons follow the coordinates.
Atoms (fractional coordinates):
Al (0.293, 0.557, 0.750)  0.00
Al (0.207, 0.057, 0.250)  0.00
Al (0.707, 0.443, 0.250)  0.00
Al (0.793, 0.943, 0.750)  0.00
Ni (0.000, 0.500, 0.000)  0.27
Ni (0.500, 0.000, 0.500)  0.27
Ni (0.500, 0.000, 0.000)  0.27
Ni (0.000, 0.500, 0.500)  0.27
Pt (0.867, 0.159, 0.063)  0.04
Pt (0.633, 0.659, 0.563)  0.04
Pt (0.633, 0.659, 0.937)  0.04
Pt (0.133, 0.841, 0.563)  0.04
Pt (0.133, 0.841, 0.937)  0.04
Pt (0.367, 0.341, 0.437)  0.04
Pt (0.367, 0.341, 0.063)  0.04
Pt (0.867, 0.159, 0.437)  0.04
Pt (0.130, 0.218, 0.750)  0.05
Pt (0.370, 0.718, 0.250)  0.05
Pt (0.870, 0.782, 0.250)  0.05
Pt (0.630, 0.282, 0.750)  0.05

Output
Its space group is Pnma. The calculation puts the energy above the lowest structure with this stoichiometry at 0.946 eV/f.u. As for the energy relative to the elements: -0.374 eV per atom.

---

10.
This record from the Alexandria database describes an optimized crystal structure of Tb6InPd2. The functional is GGA-PBE.

Cell lengths 8.619, 8.619, 8.619 Å; angles 104.97, 110.34, 113.21 degrees
Atoms (fractional coordinates):
Tb (0.527, 0.710, 0.817)
Tb (0.473, 0.290, 0.183)
Tb (0.107, 0.290, 0.817)
Tb (0.893, 0.710, 0.183)
Tb (0.801, 0.763, 0.565)
Tb (0.199, 0.237, 0.435)
Tb (0.199, 0.763, 0.962)
Tb (0.801, 0.237, 0.038)
Tb (0.699, 0.373, 0.674)
Tb (0.301, 0.627, 0.326)
Tb (0.301, 0.975, 0.674)
Tb (0.699, 0.025, 0.326)
In (0.000, 0.500, 0.500)
In (0.000, 0.000, 0.000)
Pd (0.500, 0.368, 0.868)
Pd (0.500, 0.632, 0.132)
Pd (0.655, 0.000, 0.655)
Pd (0.345, 0.000, 0.345)

Output
Its space group is Immm. As for the energy relative to the elements: -0.531 eV per atom.

---

11.
This record from the Alexandria database describes an optimized crystal structure of Tb2Sm9Y3. The functional is GGA-PBE.

Cell lengths 5.343, 12.879, 12.879 Å; angles 47.72, 51.51, 51.51 degrees
Atoms (fractional coordinates):
Tb (0.500, 0.234, 0.766)
Tb (0.500, 0.766, 0.234)
Sm (0.000, 0.500, 0.500)
Sm (0.373, 0.099, 0.653)
Sm (0.627, 0.901, 0.347)
Sm (0.373, 0.653, 0.099)
Sm (0.627, 0.347, 0.901)
Sm (0.915, 0.845, 0.545)
Sm (0.085, 0.155, 0.455)
Sm (0.915, 0.545, 0.845)
Sm (0.085, 0.455, 0.155)
Y (0.000, 0.000, 0.000)
Y (0.986, 0.171, 0.171)
Y (0.014, 0.829, 0.829)

Output
Its space group is Immm. As for the energy relative to the elements: 0.278 eV per atom.

---

12.
This record from the Alexandria database describes an optimized crystal structure of BaRe2As. The functional is GGA-PBE.

Cell lengths 6.070, 6.070, 2.784 Å; angles 90.00, 90.00, 124.13 degrees
Atoms (fractional coordinates):
Re (0.000, 0.000, 0.000)
Re (0.500, 0.500, 0.000)
As (0.500, 0.000, 0.500)
Ba (0.000, 0.500, 0.500)

Output
Its space group is Cmmm. As for the energy relative to the elements: 1.512 eV per atom.

---

13.
This record from the Alexandria database describes an optimized crystal structure of SiSe2F. The functional is GGA-PBE.

Cell lengths 6.361, 6.361, 6.168 Å; angles 58.96, 58.96, 90.00 degrees
Site moments in Bohr magnetons follow the coordinates.
Atoms (fractional coordinates):
Si (0.000, 0.000, 0.000)  -0.01
Si (0.750, 0.250, 0.500)  -0.02
Se (0.661, 0.125, 0.250)  0.22
Se (0.089, 0.625, 0.250)  0.22
Se (0.375, 0.339, 0.750)  0.22
Se (0.875, 0.911, 0.750)  0.22
F (0.500, 0.500, 0.000)  0.29
F (0.250, 0.750, 0.500)  0.29

Output
Its space group is I-42d. For the uncorrected formation energy, the calculation gives -0.38 eV/atom. The calculation puts the energy above the lowest structure with this stoichiometry at 0.207 eV/f.u.

---

14.
This record from the Alexandria database describes an optimized crystal structure of AlAsRh. The functional is GGA-PBE.

Cell lengths 3.098, 3.098, 5.797 Å; angles 90.00, 90.00, 120.00 degrees
Atoms (fractional coordinates):
As (0.667, 0.333, 0.355)
Rh (0.333, 0.667, 0.665)
Al (0.000, 0.000, 0.980)

Output
Its space group is P3m1. As for the energy relative to the elements: -0.387 eV per atom.

---

15.
This record from the Alexandria database describes an optimized crystal structure of KCa2GaHg. The functional is GGA-PBE.

Cell lengths 5.808, 6.494, 5.808 Å; angles 90.00, 90.00, 90.00 degrees
Atoms (fractional coordinates):
K (0.000, 0.500, 0.000)
Ca (0.000, 0.000, 0.500)
Ca (0.500, 0.000, 0.000)
Hg (0.500, 0.500, 0.500)
Ga (0.000, 0.000, 0.000)

Output
Its space group is P4/mmm. As for the energy relative to the elements: 0.022 eV per atom.

---

16.
This record from the Alexandria database describes an optimized crystal structure of Pm2Dy5Sn5. The functional is GGA-PBE.

Cell lengths 4.434, 7.532, 12.653 Å; angles 106.01, 90.00, 107.12 degrees
Site moments in Bohr magnetons follow the coordinates.
Atoms (fractional coordinates):
Pm (0.053, 0.105, 0.779)  0.04
Pm (0.947, 0.895, 0.221)  0.04
Dy (0.500, 0.000, 0.500)  0.01
Dy (0.656, 0.312, 0.040)  0.10
Dy (0.725, 0.451, 0.347)  0.03
Dy (0.275, 0.549, 0.653)  0.03
Dy (0.344, 0.688, 0.960)  0.10
Sn (0.119, 0.237, 0.435)  0.00
Sn (0.712, 0.425, 0.803)  -0.01
Sn (0.288, 0.575, 0.197)  -0.01
Sn (0.881, 0.763, 0.565)  0.00
Sn (0.000, 0.000, 0.000)  -0.01

Output
Its space group is C2/m. As for the energy relative to the elements: -0.503 eV per atom.

---

17.
This record from the Alexandria database describes an optimized crystal structure of TiTcW3. The functional is GGA-PBE.

Cell lengths 3.150, 5.262, 9.968 Å; angles 89.38, 90.00, 107.41 degrees
Atoms (fractional coordinates):
Ti (0.547, 0.094, 0.652)
Ti (0.453, 0.906, 0.348)
Tc (0.950, 0.900, 0.852)
Tc (0.050, 0.100, 0.148)
W (0.252, 0.504, 0.751)
W (0.748, 0.496, 0.249)
W (0.350, 0.701, 0.050)
W (0.650, 0.299, 0.950)
W (0.154, 0.307, 0.449)
W (0.846, 0.693, 0.551)

Output
Its space group is C2/m. The calculation puts the energy above the lowest structure with this stoichiometry at 0.000 eV/f.u. As for the energy relative to the elements: -0.138 eV per atom.

---

18.
This record from the Alexandria database describes an optimized crystal structure of CsTm2Cl7. The functional is GGA-PBE.

Cell lengths 6.936, 12.563, 14.426 Å; angles 90.00, 90.00, 90.00 degrees
Atoms (fractional coordinates):
Cs (0.250, 0.791, 0.031)
Cs (0.750, 0.209, 0.969)
Cs (0.750, 0.291, 0.469)
Cs (0.250, 0.709, 0.531)
Tm (0.250, 0.445, 0.245)
Tm (0.750, 0.555, 0.755)
Tm (0.750, 0.945, 0.255)
Tm (0.250, 0.055, 0.745)
Tm (0.250, 0.142, 0.248)
Tm (0.750, 0.858, 0.752)
Tm (0.750, 0.642, 0.252)
Tm (0.250, 0.358, 0.748)
Cl (0.012, 0.293, 0.183)
Cl (0.988, 0.707, 0.817)
Cl (0.988, 0.793, 0.317)
Cl (0.512, 0.707, 0.817)
Cl (0.012, 0.207, 0.683)
Cl (0.488, 0.293, 0.183)
Cl (0.488, 0.207, 0.683)
Cl (0.512, 0.793, 0.317)
Cl (0.010, 0.560, 0.137)
Cl (0.990, 0.440, 0.863)
Cl (0.990, 0.060, 0.363)
Cl (0.510, 0.440, 0.863)
Cl (0.010, 0.940, 0.637)
Cl (0.490, 0.560, 0.137)
Cl (0.490, 0.940, 0.637)
Cl (0.510, 0.060, 0.363)
Cl (0.010, 0.028, 0.138)
Cl (0.990, 0.972, 0.862)
Cl (0.990, 0.528, 0.362)
Cl (0.510, 0.972, 0.862)
Cl (0.010, 0.472, 0.638)
Cl (0.490, 0.028, 0.138)
Cl (0.490, 0.472, 0.638)
Cl (0.510, 0.528, 0.362)
Cl (0.250, 0.295, 0.381)
Cl (0.750, 0.705, 0.619)
Cl (0.750, 0.795, 0.119)
Cl (0.250, 0.205, 0.881)

Output
Its space group is Pnma. For the uncorrected formation energy, the calculation gives -2.26 eV/atom. The calculation puts the energy above the lowest structure with this stoichiometry at 0.000 eV/f.u.

---

19.
This record from the Alexandria database describes an optimized crystal structure of TeRu2Cl. The functional is GGA-PBE.

Cell lengths 4.614, 4.614, 4.614 Å; angles 60.00, 60.00, 60.00 degrees
Site moments in Bohr magnetons follow the coordinates.
Atoms (fractional coordinates):
Cl (0.500, 0.500, 0.500)  -0.01
Ru (0.000, 0.000, 0.000)  0.24
Ru (0.250, 0.250, 0.250)  0.42
Te (0.750, 0.750, 0.750)  -0.02

Output
Its space group is F-43m. For the uncorrected formation energy, the calculation gives 0.83 eV/atom. The calculation puts the energy above the lowest structure with this stoichiometry at 2.777 eV/f.u.

---

20.
This record from the Alexandria database describes an optimized crystal structure of SrZrAs2. The functional is GGA-PBE.

Cell lengths 7.797, 7.797, 7.797 Å; angles 152.95, 151.59, 39.63 degrees
Atoms (fractional coordinates):
Sr (0.455, 0.455, 0.000)
As (0.067, 0.067, 0.000)
As (0.775, 0.275, 0.500)
Zr (0.203, 0.703, 0.500)

Output
Its space group is Imm2. The calculation puts the energy above the lowest structure with this stoichiometry at 0.929 eV/f.u. As for the energy relative to the elements: -0.918 eV per atom.

---

21.
This record from the Alexandria database describes an optimized crystal structure of YTePb2. The functional is GGA-PBE.

Cell lengths 5.536, 5.536, 5.536 Å; angles 60.00, 60.00, 60.00 degrees
Atoms (fractional coordinates):
Pb (0.000, 0.000, 0.000)
Pb (0.250, 0.250, 0.250)
Te (0.500, 0.500, 0.500)
Y (0.750, 0.750, 0.750)

Output
Its space group is F-43m. For the uncorrected formation energy, the calculation gives -0.32 eV/atom.

---

22.
This record from the Alexandria database describes an optimized crystal structure of MnTlCoSe3. The functional is GGA-PBE.

Cell lengths 3.646, 8.201, 10.127 Å; angles 116.90, 90.00, 90.00 degrees
Site moments in Bohr magnetons follow the coordinates.
Atoms (fractional coordinates):
Mn (0.250, 0.700, 0.171)  3.12
Mn (0.750, 0.300, 0.829)  3.12
Tl (0.250, 0.291, 0.285)  0.01
Tl (0.750, 0.709, 0.715)  0.01
Co (0.250, 0.080, 0.603)  -1.43
Co (0.750, 0.920, 0.397)  -1.43
Se (0.750, 0.907, 0.164)  -0.13
Se (0.250, 0.093, 0.836)  -0.13
Se (0.250, 0.763, 0.436)  -0.11
Se (0.750, 0.237, 0.564)  -0.11
Se (0.750, 0.456, 0.115)  -0.13
Se (0.250, 0.544, 0.885)  -0.13

Output
Its space group is P2_1/m. For the uncorrected formation energy, the calculation gives -0.37 eV/atom.

---

Total moment across the listed records, respectively: 0.0, 6.5, 1.4, 3.9, 0.0, 0.0, 2.9, 0.0, 0.4, 0.0, 0.0, 0.0, 1.0, 0.0, 0.0, 0.7, 0.0, 0.0, 0.6, 0.0, 0.0, 1.3 μB per formula unit.